(1)
Below is crystalline Nd2MgGa4Ir3 at its relaxed geometry, with properties calculated at the GGA-PBE level.

Energy relative to the elements: -599 kJ/mol of formula units
Theoretical density: 9.97 g/cm3
Space group: P-4m2, No. 115

Cell: 4.157 4.157 11.258 Å, 90.00 90.00 90.00°
Sites, in units of the cell vectors:
Nd (0.000, 0.500, 0.236)
Nd (0.500, 0.000, 0.764)
Mg (0.000, 0.000, 0.500)
Ga (0.000, 0.000, 0.000)
Ga (0.000, 0.500, 0.643)
Ga (0.500, 0.000, 0.357)
Ga (0.500, 0.500, 0.000)
Ir (0.000, 0.500, 0.868)
Ir (0.500, 0.000, 0.132)
Ir (0.500, 0.500, 0.500)

***

(2)
Below is crystalline Th2BrN2 at its relaxed geometry, with properties calculated at the GGA-PBE level.

Theoretical density: 9.13 g/cm3
Calculated total energy: -0.2768 Ha/atom
Space group: C2/m, No. 12

Cell: 3.938 3.938 6.706 Å, 90.20 90.20 89.98°
Sites, in units of the cell vectors:
Th (0.002, 0.002, 0.291)
Th (0.998, 0.998, 0.709)
Br (0.500, 0.500, 0.000)
N (0.000, 0.500, 0.500)
N (0.500, 0.000, 0.500)

***

(3)
Below is crystalline UTaH4 at its relaxed geometry, with properties calculated at the GGA-PBE level.

Theoretical density: 12.76 g/cm3
Calculated total energy: -0.2285 Ha/atom
Space group: C2/c, No. 15

Cell: 5.536 5.536 5.085 Å, 117.30 117.30 98.20°
Sites, in units of the cell vectors:
U (0.107, 0.893, 0.750)
U (0.893, 0.107, 0.250)
Ta (0.357, 0.643, 0.250)
Ta (0.643, 0.357, 0.750)
H (0.000, 0.500, 0.232)
H (0.000, 0.500, 0.768)
H (0.308, 0.308, 0.308)
H (0.308, 0.308, 0.808)
H (0.500, 0.000, 0.268)
H (0.500, 0.000, 0.732)
H (0.692, 0.692, 0.192)
H (0.692, 0.692, 0.692)

***

(4)
Below is crystalline LaMg4Ni2 at its relaxed geometry, with properties calculated at the GGA-PBE level.

Excess energy over the best structure of this formula in the dataset: 0.0 meV per atom
Energy relative to the elements: -120 kJ/mol of formula units
Theoretical density: 4.12 g/cm3
Space group: P4_2/mnm, No. 136

Cell: 8.593 8.593 3.864 Å, 90.00 90.00 90.00°
Sites, in units of the cell vectors:
La (0.000, 0.000, 0.000)
La (0.500, 0.500, 0.500)
Mg (0.098, 0.335, 0.500)
Mg (0.165, 0.598, 0.000)
Mg (0.335, 0.098, 0.500)
Mg (0.402, 0.835, 0.000)
Mg (0.598, 0.165, 0.000)
Mg (0.665, 0.902, 0.500)
Mg (0.835, 0.402, 0.000)
Mg (0.902, 0.665, 0.500)
Ni (0.183, 0.817, 0.500)
Ni (0.317, 0.317, 0.000)
Ni (0.683, 0.683, 0.000)
Ni (0.817, 0.183, 0.500)

***

(5)
Below is crystalline Mn2VTc at its relaxed geometry, with properties calculated at the GGA-PBE level.

Excess energy over the best structure of this formula in the dataset: 0.0 meV per atom
Energy relative to the elements: -26 kJ/mol of formula units
Theoretical density: 8.74 g/cm3
Space group: P4/mmm, No. 123

Cell: 2.849 2.849 6.056 Å, 90.00 90.00 90.00°
Sites, in units of the cell vectors:
Mn (0.000, 0.000, 0.230)
Mn (0.000, 0.000, 0.770)
V (0.500, 0.500, 0.000)
Tc (0.500, 0.500, 0.500)

***

(6)
Below is crystalline Ta2NiPt at its relaxed geometry, with properties calculated at the GGA-PBE level.

Energy relative to the elements: -156 kJ/mol of formula units
Theoretical density: 16.52 g/cm3
Space group: P4/mmm, No. 123

Cell: 2.807 2.807 7.855 Å, 90.00 90.00 90.00°
Sites, in units of the cell vectors:
Ta (0.000, 0.000, 0.235)
Ta (0.000, 0.000, 0.765)
Ni (0.500, 0.500, 0.000)
Pt (0.500, 0.500, 0.500)

***

(7)
Below is crystalline Ba6P3Au at its relaxed geometry, with properties calculated at the GGA-PBE level.

Energy relative to the elements: -824 kJ/mol of formula units
Theoretical density: 4.62 g/cm3
Space group: P2_1/m, No. 11

Cell: 13.077 4.770 13.579 Å, 90.00 108.98 90.00°
Sites, in units of the cell vectors:
Ba (0.030, 0.250, 0.393)
Ba (0.099, 0.250, 0.939)
Ba (0.232, 0.750, 0.281)
Ba (0.308, 0.750, 0.757)
Ba (0.380, 0.250, 0.545)
Ba (0.422, 0.750, 0.090)
Ba (0.578, 0.250, 0.910)
Ba (0.620, 0.750, 0.455)
Ba (0.692, 0.250, 0.243)
Ba (0.768, 0.250, 0.719)
Ba (0.901, 0.750, 0.061)
Ba (0.970, 0.750, 0.607)
P (0.063, 0.250, 0.170)
P (0.182, 0.750, 0.508)
P (0.338, 0.250, 0.918)
P (0.662, 0.750, 0.082)
P (0.818, 0.250, 0.492)
P (0.937, 0.750, 0.830)
Au (0.444, 0.250, 0.311)
Au (0.556, 0.750, 0.689)

***

(8)
Below is crystalline Sm2SnBi at its relaxed geometry, with properties calculated at the GGA-PBE level.

Excess energy over the best structure of this formula in the dataset: 196.6 meV per atom
Energy relative to the elements: -246 kJ/mol of formula units
Theoretical density: 9.00 g/cm3
Space group: P4/mmm, No. 123

Cell: 5.093 5.093 4.467 Å, 90.00 90.00 90.00°
Sites, in units of the cell vectors:
Sm (0.000, 0.500, 0.000)
Sm (0.500, 0.000, 0.000)
Sn (0.000, 0.000, 0.500)
Bi (0.500, 0.500, 0.500)

***

(9)
Below is crystalline MgIn5Hg2 at its relaxed geometry, with properties calculated at the GGA-PBE level.

Energy relative to the elements: -17 kJ/mol of formula units
Theoretical density: 8.05 g/cm3
Space group: Pbam, No. 55

Cell: 9.578 12.758 3.373 Å, 90.00 90.00 90.00°
Sites, in units of the cell vectors:
Mg (0.000, 0.000, 0.000)
Mg (0.500, 0.500, 0.000)
In (0.000, 0.500, 0.000)
In (0.050, 0.263, 0.000)
In (0.247, 0.608, 0.500)
In (0.253, 0.108, 0.500)
In (0.450, 0.763, 0.000)
In (0.500, 0.000, 0.000)
In (0.550, 0.237, 0.000)
In (0.747, 0.892, 0.500)
In (0.753, 0.392, 0.500)
In (0.950, 0.737, 0.000)
Hg (0.188, 0.862, 0.500)
Hg (0.312, 0.362, 0.500)
Hg (0.688, 0.638, 0.500)
Hg (0.812, 0.138, 0.500)

***

(10)
Below is crystalline RbPt2BrN at its relaxed geometry, with properties calculated at the GGA-PBE level.

Theoretical density: 4.69 g/cm3
Calculated total energy: -0.0774 Ha/atom
Space group: P4/mmm, No. 123

Cell: 5.657 5.657 6.294 Å, 90.00 90.00 90.00°
Sites, in units of the cell vectors:
Rb (0.000, 0.000, 0.000)
Pt (0.000, 0.500, 0.000)
Pt (0.500, 0.000, 0.000)
Br (0.000, 0.000, 0.500)
N (0.500, 0.500, 0.500)

***

(11)
Below is crystalline AcEu2Ni at its relaxed geometry, with properties calculated at the GGA-PBE level.

Excess energy over the best structure of this formula in the dataset: 0.0 meV per atom
Energy relative to the elements: 8 kJ/mol of formula units
Theoretical density: 7.68 g/cm3
Space group: P4/mmm, No. 123

Cell: 3.683 3.683 9.402 Å, 90.00 90.00 90.00°
Sites, in units of the cell vectors:
Ac (0.000, 0.000, 0.000)
Eu (0.500, 0.500, 0.324)
Eu (0.500, 0.500, 0.676)
Ni (0.000, 0.000, 0.500)

***

(12)
Below is crystalline LiPdSN2 at its relaxed geometry, with properties calculated at the GGA-PBE level.

Excess energy over the best structure of this formula in the dataset: 598.5 meV per atom
Theoretical density: 4.71 g/cm3
Space group: P4/mmm, No. 123

Cell: 3.600 3.600 4.724 Å, 90.00 90.00 90.00°
Sites, in units of the cell vectors:
Li (0.000, 0.000, 0.000)
Pd (0.500, 0.500, 0.500)
S (0.000, 0.000, 0.500)
N (0.000, 0.500, 0.000)
N (0.500, 0.000, 0.000)

***

Copy entry 4 word for word.
Below is crystalline LaMg4Ni2 at its relaxed geometry, with properties calculated at the GGA-PBE level.

Excess energy over the best structure of this formula in the dataset: 0.0 meV per atom
Energy relative to the elements: -120 kJ/mol of formula units
Theoretical density: 4.12 g/cm3
Space group: P4_2/mnm, No. 136

Cell: 8.593 8.593 3.864 Å, 90.00 90.00 90.00°
Sites, in units of the cell vectors:
La (0.000, 0.000, 0.000)
La (0.500, 0.500, 0.500)
Mg (0.098, 0.335, 0.500)
Mg (0.165, 0.598, 0.000)
Mg (0.335, 0.098, 0.500)
Mg (0.402, 0.835, 0.000)
Mg (0.598, 0.165, 0.000)
Mg (0.665, 0.902, 0.500)
Mg (0.835, 0.402, 0.000)
Mg (0.902, 0.665, 0.500)
Ni (0.183, 0.817, 0.500)
Ni (0.317, 0.317, 0.000)
Ni (0.683, 0.683, 0.000)
Ni (0.817, 0.183, 0.500)

***

Among the records above, which one has the lowest theoretical density? LaMg4Ni2